[1]
Below is a relaxed LaZn2Os2 crystal, with properties calculated at the PBE-GGA level.

a b c (Å): 4.387 4.387 10.155
angles (deg): 90.00 90.00 90.00
Space group I4/mmm (No. 139)
Inequivalent atoms, fractional coordinates:
La: 0.000 0.000 0.000 (multiplicity 2)
Zn: 0.000 0.500 0.250 (multiplicity 4)
Os: 0.000 0.000 0.386 (multiplicity 4)

Properties
ΔE_f = 0.033 eV/atom
D(E_F) = 1.3899 states/eV per atom
Magnetization = 0.000 μB per formula unit

=====

[2]
Below is a relaxed LaZnOs crystal, with properties calculated at the PBE-GGA level.

a b c (Å): 6.538 6.538 6.538
angles (deg): 90.00 90.00 90.00
Space group F-43m (No. 216)
Inequivalent atoms, fractional coordinates:
La: 0.000 0.000 0.000 (multiplicity 4)
Zn: 0.000 0.000 0.500 (multiplicity 4)
Os: 0.250 0.250 0.250 (multiplicity 4)

Properties
ΔE_f = 0.225 eV/atom
D(E_F) = 1.2995 states/eV per atom
Magnetization = 0.000 μB per formula unit

=====

[3]
Below is a relaxed LaZnOs4 crystal, with properties calculated at the PBE-GGA level.

a b c (Å): 7.553 7.553 7.553
angles (deg): 90.00 90.00 90.00
Space group F-43m (No. 216)
Inequivalent atoms, fractional coordinates:
La: 0.000 0.000 0.000 (multiplicity 4)
Zn: 0.250 0.250 0.250 (multiplicity 4)
Os: 0.124 0.124 0.624 (multiplicity 16)

Properties
ΔE_f = 0.323 eV/atom
D(E_F) = 1.5360 states/eV per atom
Magnetization = 0.003 μB per formula unit

=====

[4]
Below is a relaxed LaZnOs crystal, with properties calculated at the PBE-GGA level.

a b c (Å): 3.473 3.473 10.241
angles (deg): 90.00 90.00 90.00
Space group I4mm (No. 107)
Inequivalent atoms, fractional coordinates:
La: 0.000 0.000 0.000 (multiplicity 2)
Zn: 0.000 0.000 0.288 (multiplicity 2)
Os: 0.000 0.000 0.696 (multiplicity 2)

Properties
ΔE_f = 0.111 eV/atom
D(E_F) = 0.9224 states/eV per atom
Magnetization = 0.000 μB per formula unit

=====

[5]
Below is a relaxed LaZn3Os crystal, with properties calculated at the PBE-GGA level.

a b c (Å): 5.366 5.366 5.366
angles (deg): 90.00 90.00 90.00
Space group Pm-3m (No. 221)
Inequivalent atoms, fractional coordinates:
La: 0.000 0.000 0.000 (multiplicity 1)
Zn: 0.000 0.000 0.500 (multiplicity 3)
Os: 0.500 0.500 0.500 (multiplicity 1)

Properties
ΔE_f = 2.212 eV/atom
D(E_F) = 2.6669 states/eV per atom
Magnetization = 0.081 μB per formula unit
Energy above the lowest structure with this stoichiometry = 2220.7 meV per atom

=====

[6]
Below is a relaxed LaZnOs crystal, with properties calculated at the PBE-GGA level.

a b c (Å): 4.3852 4.3852 3.9621
angles (deg): 90.00 90.00 120.00
Space group P-6m2 (No. 187)
Inequivalent atoms, fractional coordinates:
La: 0.0000 0.0000 0.0000 (multiplicity 1)
Zn: 0.3333 0.6667 0.5000 (multiplicity 1)
Os: 0.6667 0.3333 0.5000 (multiplicity 1)

Properties
ΔE_f = 0.014 eV/atom
D(E_F) = 0.4162 states/eV per atom
Magnetization = 0.000 μB per formula unit